No. 1
This record from the Alexandria database describes a geometry-optimized Fe5Ni2Mo2W structure. The functional is GGA-PBE.

Unit cell a=8.2084 b=8.2084 c=3.7524 alpha=90.00 beta=90.00 gamma=90.00
Closest atoms and distances in Å follow each position.
Element x y z (fractional)
Fe (0.0000, 0.5000, 0.0000)  4 Ni 2.34, 4 Fe 2.48
Fe (0.0653, 0.2053, 0.0000)  2 Ni 2.40, 4 Fe 2.48-2.66, 2 W 2.58
Fe (0.2053, 0.9347, 0.0000)  2 Ni 2.40, 4 Fe 2.48-2.66, 2 W 2.58
Fe (0.2947, 0.4347, 0.0000)  2 Ni 2.40, 4 Fe 2.48-2.66, 2 W 2.58
Fe (0.4347, 0.7053, 0.0000)  2 Ni 2.40, 4 Fe 2.48-2.66, 2 W 2.58
Fe (0.5000, 0.0000, 0.0000)  4 Ni 2.34, 4 Fe 2.48
Fe (0.5653, 0.2947, 0.0000)  2 Ni 2.40, 4 Fe 2.48-2.66, 2 W 2.58
Fe (0.7053, 0.5653, 0.0000)  2 Ni 2.40, 4 Fe 2.48-2.66, 2 W 2.58
Fe (0.7947, 0.0653, 0.0000)  2 Ni 2.40, 4 Fe 2.48-2.66, 2 W 2.58
Fe (0.9347, 0.7947, 0.0000)  2 Ni 2.40, 4 Fe 2.48-2.66, 2 W 2.58
Ni (0.1200, 0.3800, 0.5000)  6 Fe 2.34-2.40, 3 Mo 2.38-2.46
Ni (0.3800, 0.8800, 0.5000)  6 Fe 2.34-2.40, 3 Mo 2.38-2.46
Ni (0.6200, 0.1200, 0.5000)  6 Fe 2.34-2.40, 3 Mo 2.38-2.46
Ni (0.8800, 0.6200, 0.5000)  6 Fe 2.34-2.40, 3 Mo 2.38-2.46
Mo (0.1747, 0.6747, 0.5000)  3 Ni 2.38-2.46
Mo (0.3253, 0.1747, 0.5000)  3 Ni 2.38-2.46
Mo (0.6747, 0.8253, 0.5000)  3 Ni 2.38-2.46
Mo (0.8253, 0.3253, 0.5000)  3 Ni 2.38-2.46
W (0.0000, 0.0000, 0.5000)  8 Fe 2.58
W (0.5000, 0.5000, 0.5000)  8 Fe 2.58

Properties
Magnetization (μB per formula unit): 6.2
Symmetry: P4/mbm
Formation enthalpy at 0 K (eV/atom): 0.20

---

No. 2
This record from the Alexandria database describes a geometry-optimized SnHgP structure. The functional is GGA-PBE.

Unit cell a=11.5339 b=11.5339 c=11.5339 alpha=19.46 beta=19.46 gamma=19.46
Closest atoms and distances in Å follow each position.
Element x y z (fractional)
Sn (0.0000, 0.0000, 0.0000)  3 P 2.64
Sn (0.1669, 0.1669, 0.1669)  3 P 2.62
Hg (0.4027, 0.4027, 0.4027)  3 P 2.99, 3 Sn 3.26
Hg (0.5680, 0.5680, 0.5680)  3 P 2.99, 3 Sn 3.22
P (0.2927, 0.2927, 0.2927)  3 Sn 2.64
P (0.7939, 0.7939, 0.7939)  3 Sn 2.62

Properties
Magnetization (μB per formula unit): 0.0
Symmetry: R3m
Offset from the most stable computed form (meV per atom): 33
Formation enthalpy at 0 K (eV/atom): 0.09

---

No. 3
This record from the Alexandria database describes a geometry-optimized HfPa6N12 structure. The functional is GGA-PBE.

Unit cell a=6.5939 b=6.5939 c=6.5939 alpha=99.15 beta=99.15 gamma=99.15
Closest atoms and distances in Å follow each position.
Element x y z (fractional)
Hf (0.0000, 0.0000, 0.0000)  6 N 2.19
Pa (0.1362, 0.6002, 0.2919)  7 N 2.24-2.49
Pa (0.2919, 0.1362, 0.6002)  7 N 2.24-2.49
Pa (0.3998, 0.7081, 0.8638)  7 N 2.24-2.49
Pa (0.6002, 0.2919, 0.1362)  7 N 2.24-2.49
Pa (0.7081, 0.8638, 0.3998)  7 N 2.24-2.49
Pa (0.8638, 0.3998, 0.7081)  7 N 2.24-2.49
N (0.0639, 0.6824, 0.9342)  1 Hf 2.19, 2 Pa 2.27-2.32
N (0.0658, 0.9361, 0.3176)  1 Hf 2.19, 2 Pa 2.27-2.32
N (0.1758, 0.4363, 0.5936)  4 Pa 2.24-2.42
N (0.3176, 0.0658, 0.9361)  1 Hf 2.19, 2 Pa 2.27-2.32
N (0.4064, 0.8242, 0.5637)  4 Pa 2.24-2.42
N (0.4363, 0.5936, 0.1758)  4 Pa 2.24-2.42
N (0.5637, 0.4064, 0.8242)  4 Pa 2.24-2.42
N (0.5936, 0.1758, 0.4363)  4 Pa 2.24-2.42
N (0.6824, 0.9342, 0.0639)  1 Hf 2.19, 2 Pa 2.27-2.32
N (0.8242, 0.5637, 0.4064)  4 Pa 2.24-2.42
N (0.9342, 0.0639, 0.6824)  1 Hf 2.19, 2 Pa 2.27-2.32
N (0.9361, 0.3176, 0.0658)  1 Hf 2.19, 2 Pa 2.27-2.32

Properties
Magnetization (μB per formula unit): 0.0
Final energy (eV/atom): -10.354
Symmetry: R-3

---

No. 4
This record from the Alexandria database describes a geometry-optimized CuOs2Ru structure. The functional is GGA-PBE.

Unit cell a=4.6756 b=4.6756 c=4.6434 alpha=99.26 beta=99.26 gamma=33.59
Closest atoms and distances in Å follow each position.
Element x y z (fractional)
Cu (0.0000, 0.0000, 0.0000)  3 Ru 2.61-2.73, 7 Os 2.67-2.76, 2 Cu 2.70
Os (0.5016, 0.5016, 0.4955)  5 Os 2.66-2.70, 4 Cu 2.67-2.71, 3 Ru 2.68-2.79
Os (0.7553, 0.7553, 0.2617)  5 Os 2.66-2.70, 4 Ru 2.67-2.70, 3 Cu 2.68-2.76
Ru (0.2445, 0.2445, 0.7617)  3 Cu 2.61-2.73, 7 Os 2.67-2.79, 2 Ru 2.70

Properties
Magnetization (μB per formula unit): 0.0
Symmetry: Cm
Offset from the most stable computed form (meV per atom): 83
Formation enthalpy at 0 K (eV/atom): 0.29

---

No. 5
This record from the Alexandria database describes a geometry-optimized RbCdBr2Cl structure. The functional is GGA-PBE.

Unit cell a=5.5789 b=5.5789 c=5.2720 alpha=90.00 beta=90.00 gamma=90.00
Closest atoms and distances in Å follow each position.
Element x y z (fractional)
Rb (0.0000, 0.0000, 0.0000)  8 Br 3.84, 4 Cl 3.94
Cd (0.5000, 0.5000, 0.5000)  2 Cl 2.64, 4 Br 2.79
Br (0.0000, 0.5000, 0.5000)  2 Cd 2.79
Br (0.5000, 0.0000, 0.5000)  2 Cd 2.79
Cl (0.5000, 0.5000, 0.0000)  2 Cd 2.64

Properties
Magnetization (μB per formula unit): 0.0
Symmetry: P4/mmm
Offset from the most stable computed form (meV per atom): 18

---

No. 6
This record from the Alexandria database describes a geometry-optimized Li3TaCd structure. The functional is GGA-PBE.

Unit cell a=4.5425 b=4.5425 c=4.5425 alpha=90.00 beta=90.00 gamma=90.00
Closest atoms and distances in Å follow each position.
Element x y z (fractional)
Li (0.0000, 0.0000, 0.5000)  2 Cd 2.27
Li (0.0000, 0.5000, 0.0000)  2 Cd 2.27
Li (0.5000, 0.0000, 0.0000)  2 Cd 2.27
Ta (0.5000, 0.5000, 0.5000)  12 Li 3.21
Cd (0.0000, 0.0000, 0.0000)  6 Li 2.27

Properties
Magnetization (μB per formula unit): 0.0
Symmetry: Pm-3m
Offset from the most stable computed form (meV per atom): 0
Formation enthalpy at 0 K (eV/atom): 1.03

---

No. 7
This record from the Alexandria database describes a geometry-optimized Pr5Y6Sc2 structure. The functional is GGA-PBE.

Unit cell a=10.8042 b=22.4684 c=3.5564 alpha=90.00 beta=90.00 gamma=90.00
Closest atoms and distances in Å follow each position.
Element x y z (fractional)
Pr (0.0000, 0.0000, 0.0000)  6 Y 3.52-3.62, 4 Pr 3.56-3.61
Pr (0.0871, 0.2518, 0.0000)  4 Sc 3.26-3.27, 5 Y 3.53-3.61, 2 Pr 3.56
Pr (0.1668, 0.5101, 0.0000)  4 Pr 3.56-3.63, 7 Y 3.58-3.84
Pr (0.3332, 0.0101, 0.0000)  4 Pr 3.56-3.63, 7 Y 3.58-3.84
Pr (0.4129, 0.7518, 0.0000)  4 Sc 3.26-3.27, 5 Y 3.53-3.61, 2 Pr 3.56
Pr (0.5000, 0.5000, 0.0000)  6 Y 3.52-3.62, 4 Pr 3.56-3.61
Pr (0.5871, 0.2482, 0.0000)  4 Sc 3.26-3.27, 5 Y 3.53-3.61, 2 Pr 3.56
Pr (0.6668, 0.9899, 0.0000)  4 Pr 3.56-3.63, 7 Y 3.58-3.84
Pr (0.8332, 0.4899, 0.0000)  4 Pr 3.56-3.63, 7 Y 3.58-3.84
Pr (0.9129, 0.7482, 0.0000)  4 Sc 3.26-3.27, 5 Y 3.53-3.61, 2 Pr 3.56
Y (0.0354, 0.3869, 0.5000)  1 Sc 3.37, 4 Y 3.56-3.74, 6 Pr 3.56-3.65
Y (0.1366, 0.1183, 0.5000)  1 Sc 3.30, 6 Pr 3.52-3.68, 2 Y 3.56
Y (0.1650, 0.8597, 0.0000)  2 Sc 3.43, 6 Y 3.56-3.75, 4 Pr 3.61-3.84
Y (0.3350, 0.3597, 0.0000)  2 Sc 3.43, 6 Y 3.56-3.75, 4 Pr 3.61-3.84
Y (0.3634, 0.6183, 0.5000)  1 Sc 3.30, 6 Pr 3.52-3.68, 2 Y 3.56
Y (0.4646, 0.8869, 0.5000)  1 Sc 3.37, 4 Y 3.56-3.74, 6 Pr 3.56-3.65
Y (0.5354, 0.1131, 0.5000)  1 Sc 3.37, 4 Y 3.56-3.74, 6 Pr 3.56-3.65
Y (0.6366, 0.3817, 0.5000)  1 Sc 3.30, 6 Pr 3.52-3.68, 2 Y 3.56
Y (0.6650, 0.6403, 0.0000)  2 Sc 3.43, 6 Y 3.56-3.75, 4 Pr 3.61-3.84
Y (0.8350, 0.1403, 0.0000)  2 Sc 3.43, 6 Y 3.56-3.75, 4 Pr 3.61-3.84
Y (0.8634, 0.8817, 0.5000)  1 Sc 3.30, 6 Pr 3.52-3.68, 2 Y 3.56
Y (0.9646, 0.6131, 0.5000)  1 Sc 3.37, 4 Y 3.56-3.74, 6 Pr 3.56-3.65
Sc (0.1631, 0.7291, 0.5000)  4 Pr 3.26-3.27, 4 Y 3.30-3.43, 2 Sc 3.56
Sc (0.3369, 0.2291, 0.5000)  4 Pr 3.26-3.27, 4 Y 3.30-3.43, 2 Sc 3.56
Sc (0.6631, 0.7709, 0.5000)  4 Pr 3.26-3.27, 4 Y 3.30-3.43, 2 Sc 3.56
Sc (0.8369, 0.2709, 0.5000)  4 Pr 3.26-3.27, 4 Y 3.30-3.43, 2 Sc 3.56

Properties
Magnetization (μB per formula unit): 0.0
Symmetry: Pbam
Formation enthalpy at 0 K (eV/atom): 0.13

---

No. 8
This record from the Alexandria database describes a geometry-optimized PrYThN3 structure. The functional is GGA-PBE.

Unit cell a=6.1776 b=3.6070 c=9.2698 alpha=90.00 beta=101.84 gamma=90.00
Closest atoms and distances in Å follow each position.
Element x y z (fractional)
Pr (0.1539, 0.2500, 0.1908)  7 N 2.72-2.79
Pr (0.8461, 0.7500, 0.8092)  7 N 2.72-2.79
Y (0.3548, 0.2500, 0.8649)  5 N 2.32-2.47
Y (0.6452, 0.7500, 0.1351)  5 N 2.32-2.47
Th (0.2656, 0.7500, 0.5475)  6 N 2.41-2.59
Th (0.7344, 0.2500, 0.4525)  6 N 2.41-2.59
N (0.0484, 0.2500, 0.6606)  1 Y 2.39, 3 Th 2.44-2.59
N (0.2582, 0.7500, 0.9957)  3 Y 2.32-2.47
N (0.4599, 0.7500, 0.3468)  3 Th 2.41-2.53, 1 Y 2.47
N (0.5401, 0.2500, 0.6532)  3 Th 2.41-2.53, 1 Y 2.47
N (0.7418, 0.2500, 0.0043)  3 Y 2.32-2.47
N (0.9516, 0.7500, 0.3394)  1 Y 2.39, 3 Th 2.44-2.59

Properties
Magnetization (μB per formula unit): 0.0
Final energy (eV/atom): -8.683
Symmetry: P2_1/m

---

No. 9
This record from the Alexandria database describes a geometry-optimized Rb2AsS3 structure. The functional is GGA-PBE.

Unit cell a=7.6675 b=7.6675 c=6.6209 alpha=90.92 beta=90.92 gamma=68.68
Closest atoms and distances in Å follow each position.
Element x y z (fractional)
Rb (0.0058, 0.6845, 0.7599)  6 S 3.37-3.76
Rb (0.3155, 0.9942, 0.7401)  6 S 3.37-3.76
Rb (0.6845, 0.0058, 0.2599)  6 S 3.37-3.76
Rb (0.9942, 0.3155, 0.2401)  6 S 3.37-3.76
As (0.4293, 0.5707, 0.2500)  5 S 2.24-2.48
As (0.5707, 0.4293, 0.7500)  5 S 2.24-2.48
S (0.1709, 0.8291, 0.2500)  1 As 2.24
S (0.3593, 0.3673, 0.4981)  2 As 2.47-2.48
S (0.3673, 0.3593, 0.9981)  2 As 2.47-2.48
S (0.6327, 0.6407, 0.0019)  2 As 2.47-2.48
S (0.6407, 0.6327, 0.5019)  2 As 2.47-2.48
S (0.8291, 0.1709, 0.7500)  1 As 2.24

Properties
Magnetization (μB per formula unit): 0.0
Symmetry: C2/c
Offset from the most stable computed form (meV per atom): 96

---

No. 10
This record from the Alexandria database describes a geometry-optimized Rb3Pu3GeSe8 structure. The functional is GGA-PBE.

Unit cell a=8.4210 b=8.4210 c=8.1658 alpha=90.24 beta=90.24 gamma=59.99
Closest atoms and distances in Å follow each position.
Element x y z (fractional)
Rb (0.0000, 0.0000, 0.0000)  6 Se 3.52-3.57
Rb (0.0000, 0.5000, 0.0000)  6 Se 3.52-3.53
Rb (0.5000, 0.0000, 0.0000)  6 Se 3.52-3.53
Pu (0.0000, 0.5000, 0.5000)  6 Se 2.84-2.87
Pu (0.5000, 0.0000, 0.5000)  6 Se 2.84-2.87
Pu (0.5000, 0.5000, 0.5000)  6 Se 2.86-2.89
Ge (0.0000, 0.0000, 0.5000)  6 Se 2.85-2.89
Se (0.1651, 0.6656, 0.3178)  2 Pu 2.84-2.86, 1 Ge 2.85
Se (0.1671, 0.1671, 0.3117)  2 Pu 2.87, 1 Ge 2.89
Se (0.3330, 0.3330, 0.6888)  3 Pu 2.87-2.89
Se (0.3344, 0.8349, 0.6822)  2 Pu 2.84-2.86, 1 Ge 2.85
Se (0.6656, 0.1651, 0.3178)  2 Pu 2.84-2.86, 1 Ge 2.85
Se (0.6670, 0.6670, 0.3112)  3 Pu 2.87-2.89
Se (0.8329, 0.8329, 0.6883)  2 Pu 2.87, 1 Ge 2.89
Se (0.8349, 0.3344, 0.6822)  2 Pu 2.84-2.86, 1 Ge 2.85

Properties
Magnetization (μB per formula unit): 13.0
Final energy (eV/atom): -6.412
Symmetry: C2/m

---

No. 11
This record from the Alexandria database describes a geometry-optimized Fe2OsAu structure. The functional is GGA-PBE.

Unit cell a=2.6751 b=2.6751 c=8.6185 alpha=90.00 beta=90.00 gamma=110.24
Closest atoms and distances in Å follow each position.
Element x y z (fractional)
Fe (0.0000, 0.0000, 0.2384)  2 Os 2.56, 4 Fe 2.68, 2 Au 2.72
Fe (0.0000, 0.0000, 0.7616)  2 Os 2.56, 4 Fe 2.68, 2 Au 2.72
Os (0.5000, 0.5000, 0.0000)  4 Fe 2.56, 4 Os 2.68
Au (0.5000, 0.5000, 0.5000)  4 Au 2.68, 4 Fe 2.72

Properties
Magnetization (μB per formula unit): 6.2
Symmetry: Cmmm
Offset from the most stable computed form (meV per atom): 114
Formation enthalpy at 0 K (eV/atom): 0.32

---

No. 12
This record from the Alexandria database describes a geometry-optimized ZnIn8Hg4 structure. The functional is GGA-PBE.

Unit cell a=5.6988 b=7.6866 c=8.5633 alpha=74.41 beta=76.99 gamma=80.12
Closest atoms and distances in Å follow each position.
Element x y z (fractional)
Zn (0.0000, 0.0000, 0.0000)  4 In 2.76-2.87, 2 Hg 2.85
In (0.1704, 0.8394, 0.3347)  1 Zn 3.10, 3 Hg 3.12-3.16, 3 In 3.19-3.37
In (0.1775, 0.3418, 0.8299)  1 Zn 2.87, 3 Hg 3.07-3.15, 1 In 3.18
In (0.1892, 0.3459, 0.3441)  3 Hg 2.99-3.12, 3 In 3.09-3.19
In (0.2018, 0.7800, 0.7848)  1 Zn 2.76, 2 Hg 2.93-2.99, 1 In 3.09
In (0.7982, 0.2200, 0.2152)  1 Zn 2.76, 2 Hg 2.93-2.99, 1 In 3.09
In (0.8108, 0.6541, 0.6559)  3 Hg 2.99-3.12, 3 In 3.09-3.19
In (0.8225, 0.6582, 0.1701)  1 Zn 2.87, 3 Hg 3.07-3.15, 1 In 3.18
In (0.8296, 0.1606, 0.6653)  1 Zn 3.10, 3 Hg 3.12-3.16, 3 In 3.19-3.37
Hg (0.5000, 0.0000, 0.0000)  2 Zn 2.85, 4 In 3.12-3.15
Hg (0.5000, 0.0000, 0.5000)  6 In 2.93-3.16
Hg (0.5000, 0.5000, 0.0000)  6 In 2.99-3.15
Hg (0.5000, 0.5000, 0.5000)  6 In 2.99-3.14

Properties
Magnetization (μB per formula unit): 0.0
Symmetry: P-1
Formation enthalpy at 0 K (eV/atom): 0.04

---

> What is the magnetization in the ninth record?

0.0 μB per formula unit

---

> Which value of magnetization does entry 8 give?

0.0 μB per formula unit

---

> Which formula does entry 8 have?

PrYThN3